Entry 1:
VASP calculation (SCAN) on CaTaNi2 at its PBEsol-relaxed geometry.

Unit cell a=2.737 b=4.516 c=10.075 alpha=90.00 beta=90.00 gamma=90.00
Space group Imm2 (No. 44)
Unique sites:
Ca1 0.000 0.000 0.000
Ta1 0.000 0.500 0.206
Ni1 0.000 0.000 0.476
Ni2 0.000 0.500 0.773

Formation energy from the elements (eV per atom): 0.219
Relative energy among the computed polymorphs (meV/atom): 0

---

Entry 2:
VASP calculation (SCAN) on Ca2TaNi at its PBEsol-relaxed geometry.

Unit cell a=3.046 b=4.710 c=5.765 alpha=90.00 beta=100.09 gamma=90.00
Space group P2/m (No. 10)
Unique sites:
Ca1 0.072 0.000 0.262
Ta1 0.500 0.500 0.000
Ni1 0.500 0.500 0.500

Formation energy from the elements (eV per atom): 0.802
Relative energy among the computed polymorphs (meV/atom): 471

---

Entry 3:
VASP calculation (SCAN) on Ca2TcNi at its PBEsol-relaxed geometry.

Unit cell a=2.869 b=3.071 c=8.421 alpha=90.00 beta=90.00 gamma=90.00
Space group Pmmm (No. 47)
Unique sites:
Ca1 0.000 0.000 0.229
Tc1 0.500 0.500 0.500
Ni1 0.500 0.500 0.000

Formation energy from the elements (eV per atom): 0.572
Relative energy among the computed polymorphs (meV/atom): 0

---

Entry 4:
VASP calculation (SCAN) on Ca2TcNi at its PBEsol-relaxed geometry.

Unit cell a=6.694 b=6.694 c=6.694 alpha=90.00 beta=90.00 gamma=90.00
Space group F-43m (No. 216)
Unique sites:
Ca1 0.000 0.000 0.000
Ca2 0.250 0.250 0.250
Tc1 0.250 0.250 0.750
Ni1 0.000 0.000 0.500

Formation energy from the elements (eV per atom): 0.626
Relative energy among the computed polymorphs (meV/atom): 54

---

Entry 5:
VASP calculation (SCAN) on CaTcNi2 at its PBEsol-relaxed geometry.

Unit cell a=2.731 b=2.731 c=7.679 alpha=90.00 beta=90.00 gamma=90.00
Space group P4mm (No. 99)
Unique sites:
Ca1 0.000 0.000 0.000
Tc1 0.500 0.500 0.679
Ni1 0.000 0.000 0.469
Ni2 0.500 0.500 0.281

Formation energy from the elements (eV per atom): 0.357
Relative energy among the computed polymorphs (meV/atom): 73

---

Entry 6:
VASP calculation (SCAN) on CaTc2Ni at its PBEsol-relaxed geometry.

Unit cell a=2.622 b=2.622 c=8.681 alpha=90.00 beta=90.00 gamma=90.00
Space group P4/mmm (No. 123)
Unique sites:
Ca1 0.000 0.000 0.000
Tc1 0.500 0.500 0.292
Ni1 0.000 0.000 0.500

Formation energy from the elements (eV per atom): 0.445
Relative energy among the computed polymorphs (meV/atom): 222

---

The lowest formation energy from the elements belongs to which entry? CaTaNi2

---

Number 3 is which compound? Ca2TcNi

---

Look up the relative energy among the computed polymorphs of the fourth one. 54 meV/atom